A plane-wave DFT calculation with PBEsol was carried out for a geometry-optimized Ga4Hg11P4Cl16 structure.

Output
- Uncorrected formation energy: -23.31 eV per formula unit
- Crystal system: monoclinic
- Electronic total energy: -2.81 eV/atom

Cell: 12.903 7.316 22.058 Å, 90.00 97.62 90.00°
Space group C2/m (No. 12)
Symmetry-distinct sites (fractional):
Ga 0.121 0.000 0.380
Ga 0.236 0.500 0.116
Hg 0.000 0.500 0.500
Hg 0.005 0.249 0.220
Hg 0.025 0.000 0.059
Hg 0.037 0.500 0.620
Hg 0.245 0.500 0.783
P 0.070 0.500 0.733
P 0.077 0.000 0.170
Cl 0.046 0.000 0.658
Cl 0.070 0.500 0.081
Cl 0.144 0.000 0.478
Cl 0.184 0.244 0.911
Cl 0.189 0.241 0.340
Cl 0.249 0.000 0.784



A plane-wave DFT calculation with PBEsol was carried out for a geometry-optimized Na2Ti3CrP6O24 structure.

Output
- Uncorrected formation energy: -88.26 eV per formula unit
- Crystal system: trigonal
- Electronic total energy: -7.97 eV/atom

Cell: 8.5146 8.5146 21.6832 Å, 90.00 90.00 120.00°
Space group R3 (No. 146, hexagonal axes)
Symmetry-distinct sites (fractional):
Na 0.0000 0.0000 0.0000
Na 0.0000 0.0000 0.4991
Ti 0.0000 0.0000 0.3556
Ti 0.0000 0.0000 0.6434
Ti 0.0000 0.0000 0.8558
Cr 0.0000 0.0000 0.1433
P 0.0019 0.7166 0.2482
P 0.0047 0.2913 0.7500
O 0.0225 0.1909 0.4122
O 0.0219 0.8268 0.1895
O 0.0249 0.1987 0.6918
O 0.0273 0.8340 0.9116
O 0.1556 0.4719 0.4743
O 0.1584 0.6847 0.9733
O 0.1725 0.6988 0.2524
O 0.1754 0.4801 0.7535